(1)
A relaxed In2TeCl crystal, computed with PBE-GGA.

```
In2TeCl
1.0
-0.3272 4.0015 -3.5931
-4.7053 1.1045 -2.3811
-2.6504 4.5241 1.2400
In Cl Te
2 1 1
Direct
0.0000 0.0000 0.0000 In
0.2500 0.2500 0.2500 In
0.5000 0.5000 0.5000 Cl
0.7500 0.7500 0.7500 Te
```

Calculated values
relative energy among the computed polymorphs: 0.3281 eV per atom
raw formation energy: -0.22 eV per atom
symmetry: F-43m, No. 216
ρ: 5896 kg/m³


(2)
A relaxed Tm8Tl3S3N crystal, computed with PBE-GGA.

```
Tm8Tl3S3N
1.0
7.4838 -0.0034 -0.0026
-3.7448 6.4804 -0.0281
-0.0008 -4.2901 7.6493
Tm Tl S N
8 3 3 1
Direct
0.2128 0.9736 0.6857 Tm
0.7335 0.4670 0.7004 Tm
0.7872 0.0264 0.3143 Tm
0.7872 0.5749 0.3146 Tm
0.7609 0.9736 0.6856 Tm
0.2128 0.4251 0.6854 Tm
0.2391 0.0264 0.3144 Tm
0.2665 0.5330 0.2996 Tm
0.0000 0.5000 0.0000 Tl
0.5000 0.5000 0.0000 Tl
0.0000 0.0000 0.0000 Tl
0.0000 0.5000 0.5000 S
0.5000 0.0000 0.5000 S
0.5000 0.5000 0.5000 S
0.0000 0.0000 0.5000 N
```

Calculated values
raw formation energy: -1.07 eV per atom
symmetry: C2/m, No. 12
ρ: 9313 kg/m³


(3)
A relaxed MnPtN2 crystal, computed with PBE-GGA.

```
MnPtN2
1.0
-6.4454 -0.1653 0.6712
-5.6214 0.4170 3.2012
-5.8645 2.4061 1.3564
N Mn Pt
2 1 1
Direct
0.1056 0.1056 0.1056 N
0.8944 0.8944 0.8944 N
0.5000 0.5000 0.5000 Mn
0.0000 0.0000 0.0000 Pt
```

Calculated values
relative energy among the computed polymorphs: 0.0000 eV per atom
raw formation energy: 0.09 eV per atom
symmetry: R-3m, No. 166
ρ: 11427 kg/m³


(4)
A relaxed K3Pb5Br12 crystal, computed with PBE-GGA.

```
K3Pb5Br12
1.0
16.3634 0.0000 0.0000
-5.4545 15.4276 0.0000
-5.4545 -7.7138 13.3607
Br K Pb
48 12 20
Direct
0.4616 0.6724 0.0864 Br
0.8276 0.9136 0.0384 Br
0.0384 0.6248 0.7108 Br
0.1724 0.0864 0.9616 Br
0.6724 0.2108 0.5861 Br
0.6724 0.4616 0.5864 Br
0.7892 0.3276 0.9139 Br
0.9139 0.8276 0.7892 Br
0.0861 0.1724 0.2108 Br
0.5384 0.3276 0.9136 Br
0.1248 0.4139 0.0864 Br
0.1724 0.0861 0.7108 Br
0.3752 0.9616 0.7892 Br
0.5864 0.6248 0.4139 Br
0.5384 0.2108 0.1248 Br
0.5864 0.9616 0.6724 Br
0.9136 0.8276 0.5384 Br
0.8276 0.9139 0.2892 Br
0.8752 0.2892 0.4616 Br
0.7108 0.1248 0.0384 Br
0.0864 0.1724 0.4616 Br
0.8752 0.5861 0.9136 Br
0.9139 0.0864 0.6248 Br
0.9616 0.3752 0.2892 Br
0.3752 0.4136 0.0861 Br
0.5861 0.7108 0.6724 Br
0.0861 0.9136 0.3752 Br
0.5861 0.8752 0.4136 Br
0.7892 0.4616 0.3752 Br
0.1248 0.7108 0.5384 Br
0.0384 0.4136 0.8276 Br
0.6248 0.0384 0.2108 Br
0.9136 0.0861 0.8752 Br
0.2108 0.5384 0.6248 Br
0.0864 0.9139 0.1248 Br
0.2892 0.4139 0.8276 Br
0.6248 0.5864 0.9139 Br
0.4136 0.0384 0.3276 Br
0.2108 0.6724 0.0861 Br
0.7108 0.5861 0.1724 Br
0.2892 0.8752 0.9616 Br
0.4136 0.3752 0.5861 Br
0.4139 0.2892 0.3276 Br
0.9616 0.5864 0.1724 Br
0.4139 0.1248 0.5864 Br
0.4616 0.7892 0.8752 Br
0.3276 0.5384 0.4136 Br
0.3276 0.7892 0.4139 Br
0.7500 0.8750 0.6250 K
0.1250 0.2500 0.8750 K
0.8750 0.7500 0.1250 K
0.6250 0.2500 0.3750 K
0.3750 0.6250 0.2500 K
0.3750 0.7500 0.6250 K
0.2500 0.6250 0.8750 K
0.8750 0.1250 0.2500 K
0.7500 0.3750 0.1250 K
0.6250 0.3750 0.7500 K
0.1250 0.8750 0.7500 K
0.2500 0.1250 0.3750 K
0.7500 0.1250 0.8750 Pb
0.1250 0.3750 0.2500 Pb
0.0000 0.0000 0.0000 Pb
0.2500 0.8750 0.1250 Pb
0.8750 0.6250 0.7500 Pb
0.7500 0.6250 0.3750 Pb
0.8750 0.2500 0.6250 Pb
0.5000 0.5000 0.0000 Pb
0.2500 0.3750 0.6250 Pb
0.3750 0.1250 0.7500 Pb
0.5000 0.0000 0.0000 Pb
0.1250 0.7500 0.3750 Pb
0.0000 0.5000 0.5000 Pb
0.6250 0.8750 0.2500 Pb
0.0000 0.0000 0.5000 Pb
0.5000 0.5000 0.5000 Pb
0.0000 0.5000 0.0000 Pb
0.5000 0.0000 0.5000 Pb
0.6250 0.7500 0.8750 Pb
0.3750 0.2500 0.1250 Pb
```

Calculated values
raw formation energy: -1.04 eV per atom
symmetry: Ia-3d, No. 230
ρ: 4159 kg/m³


(5)
A relaxed Sc2SbBr crystal, computed with PBE-GGA.

```
Sc2SbBr
1.0
-0.6177 5.1080 -4.3944
2.9551 0.9557 -6.0115
-3.3293 -4.3930 3.9245
Br Sb Sc
1 1 2
Direct
0.5000 0.5000 0.0000 Br
0.7500 0.2500 0.5000 Sb
0.0000 0.0000 0.0000 Sc
0.2500 0.7500 0.5000 Sc
```

Calculated values
relative energy among the computed polymorphs: 0.2972 eV per atom
raw formation energy: -0.55 eV per atom
symmetry: I-4m2, No. 119
ρ: 4839 kg/m³


(6)
A relaxed CsNaGaGe crystal, computed with PBE-GGA.

```
CsNaGaGe
1.0
-2.9236 2.9940 -1.1669
-0.0047 -1.5855 4.0446
7.7408 5.2062 2.0553
Na Ga Ge Cs
1 1 1 1
Direct
0.0056 0.8674 0.8730 Na
0.4975 0.6135 0.1110 Ga
0.8177 0.2737 0.0914 Ge
0.3713 0.0498 0.4211 Cs
```

Calculated values
symmetry: R3m, No. 160
ρ: 3290 kg/m³
ΔE_f: -0.08 eV per atom


(7)
A relaxed CdNi2Te crystal, computed with PBE-GGA.

```
CdNi2Te
1.0
3.2857 0.0000 0.0000
0.0000 3.2679 -0.0137
0.0000 3.2932 6.1306
Ni Te Cd
2 1 1
Direct
0.0000 0.9825 0.0174 Ni
0.0000 0.5175 0.4826 Ni
0.5000 0.2500 0.2500 Te
0.5000 0.7500 0.7500 Cd
```

Calculated values
relative energy among the computed polymorphs: 0.0806 eV per atom
raw formation energy: 0.13 eV per atom
symmetry: Pmmm, No. 47
ρ: 8996 kg/m³


(8)
A relaxed AcPr12Sm6 crystal, computed with PBE-GGA.

```
AcPr12Sm6
1.0
8.9313 -0.2452 -1.3036
-1.4721 8.8126 -1.3036
-0.2135 -0.2452 9.0234
Pr Sm Ac
12 6 1
Direct
0.7605 0.5000 0.2395 Pr
0.9169 0.6461 0.6461 Pr
0.7605 0.2395 0.5000 Pr
0.3539 0.3539 0.0831 Pr
0.2395 0.7605 0.5000 Pr
0.0831 0.3539 0.3539 Pr
0.6461 0.6461 0.9169 Pr
0.6461 0.9169 0.6461 Pr
0.2395 0.5000 0.7605 Pr
0.5000 0.7605 0.2395 Pr
0.3539 0.0831 0.3539 Pr
0.5000 0.2395 0.7605 Pr
0.0983 0.0983 0.6567 Sm
0.9017 0.3433 0.9017 Sm
0.3433 0.9017 0.9017 Sm
0.9017 0.9017 0.3433 Sm
0.6567 0.0983 0.0983 Sm
0.0983 0.6567 0.0983 Sm
0.0000 0.0000 0.0000 Ac
```

Calculated values
relative energy among the computed polymorphs: 0.0512 eV per atom
symmetry: R-3m, No. 166
ρ: 6679 kg/m³
ΔE_f: 0.18 eV per atom


(9)
A relaxed KDy2ZnTe4 crystal, computed with PBE-GGA.

```
KDy2ZnTe4
1.0
4.4105 0.0000 0.0000
-2.2052 7.5538 0.0000
0.0000 0.0000 15.6256
Dy Te Zn K
4 8 2 2
Direct
0.3725 0.7450 0.9431 Dy
0.6275 0.2550 0.0569 Dy
0.6275 0.2550 0.4431 Dy
0.3725 0.7450 0.5569 Dy
0.7345 0.4691 0.8879 Te
0.5601 0.1202 0.2500 Te
0.0000 0.0000 0.5000 Te
0.2655 0.5309 0.3879 Te
0.4399 0.8798 0.7500 Te
0.2655 0.5309 0.1121 Te
0.7345 0.4691 0.6121 Te
0.0000 0.0000 0.0000 Te
0.8403 0.6806 0.7500 Zn
0.1597 0.3194 0.2500 Zn
0.8796 0.7592 0.2500 K
0.1204 0.2408 0.7500 K
```

Calculated values
raw formation energy: -1.07 eV per atom
symmetry: Cmcm, No. 63
ρ: 5996 kg/m³


(10)
A relaxed TbPrDy3Sc crystal, computed with PBE-GGA.

```
TbPrDy3Sc
1.0
-3.9673 3.0052 -0.3157
-2.4407 -7.1124 2.3572
1.2989 2.7176 9.5448
Sc Tb Dy Pr
2 2 6 2
Direct
0.8314 0.6627 0.7500 Sc
0.1686 0.3373 0.2500 Sc
0.0000 0.0000 0.5000 Tb
0.0000 0.0000 0.0000 Tb
0.8299 0.6597 0.2500 Dy
0.3317 0.6634 0.5001 Dy
0.3317 0.6634 0.9999 Dy
0.6683 0.3366 0.4999 Dy
0.6683 0.3366 0.0001 Dy
0.1701 0.3403 0.7500 Dy
0.4976 0.9951 0.7500 Pr
0.5024 0.0049 0.2500 Pr
```

Calculated values
symmetry: Cmcm, No. 63
ρ: 7408 kg/m³
ΔE_f: 0.04 eV per atom


(11)
A relaxed Ce2PbSe crystal, computed with PBE-GGA.

```
Ce2PbSe
1.0
4.3898 0.0000 0.0000
2.1949 3.8017 0.0000
2.1949 1.2672 7.1383
Pb Ce Se
1 2 1
Direct
0.5000 0.5000 0.5000 Pb
0.7430 0.7430 0.7709 Ce
0.2570 0.2570 0.2291 Ce
0.0000 0.0000 0.0000 Se
```

Calculated values
relative energy among the computed polymorphs: 0.0000 eV per atom
raw formation energy: -1.05 eV per atom
symmetry: R-3m, No. 166
ρ: 7895 kg/m³


(12)
A relaxed Cd3ReOs crystal, computed with PBE-GGA.

```
Cd3ReOs
1.0
5.1735 0.0000 0.0000
0.0000 5.1735 0.0000
0.0000 0.0000 5.1735
Os Cd Re
1 3 1
Direct
0.5000 0.5000 0.5000 Os
0.5000 0.0000 0.0000 Cd
0.0000 0.0000 0.5000 Cd
0.0000 0.5000 0.0000 Cd
0.0000 0.0000 0.0000 Re
```

Calculated values
relative energy among the computed polymorphs: 0.2726 eV per atom
symmetry: Pm-3m, No. 221
ρ: 8558 kg/m³
ΔE_f: 2.17 eV per atom


Copy entry 6 word for word.
A relaxed CsNaGaGe crystal, computed with PBE-GGA.

```
CsNaGaGe
1.0
-2.9236 2.9940 -1.1669
-0.0047 -1.5855 4.0446
7.7408 5.2062 2.0553
Na Ga Ge Cs
1 1 1 1
Direct
0.0056 0.8674 0.8730 Na
0.4975 0.6135 0.1110 Ga
0.8177 0.2737 0.0914 Ge
0.3713 0.0498 0.4211 Cs
```

Calculated values
symmetry: R3m, No. 160
ρ: 3290 kg/m³
ΔE_f: -0.08 eV per atom


> Number 10 is which compound?

TbPrDy3Sc